#w
PmEr2Se4 | PBE-GGA | optimized geometry

Unit cell a=6.981 b=6.981 c=13.791 alpha=90.00 beta=90.00 gamma=146.74
Fractional coordinates of all 14 atoms:
Pm 0.125 0.875 0.750
Pm 0.875 0.125 0.250
Er 0.370 0.630 0.568
Er 0.370 0.630 0.932
Er 0.630 0.370 0.068
Er 0.630 0.370 0.432
Se 0.000 0.000 0.000
Se 0.000 0.000 0.500
Se 0.274 0.726 0.119
Se 0.274 0.726 0.381
Se 0.462 0.538 0.750
Se 0.538 0.462 0.250
Se 0.726 0.274 0.619
Se 0.726 0.274 0.881

Calculated values
* SG: No. 63
* theoretical density: 7.17 g cm⁻³
* M_tot: 0.000 μB per formula unit

#x
PmEr2Se4 | PBE-GGA | optimized geometry

Unit cell a=6.991 b=4.082 c=7.142 alpha=90.00 beta=108.11 gamma=90.00
Fractional coordinates of all 7 atoms:
Pm 0.000 0.000 0.000
Er 0.000 0.500 0.500
Er 0.500 0.000 0.500
Se 0.245 0.000 0.736
Se 0.261 0.500 0.256
Se 0.739 0.500 0.744
Se 0.755 0.000 0.264

Calculated values
* SG: No. 10
* theoretical density: 6.82 g cm⁻³
* M_tot: 0.000 μB per formula unit

Order of stability, best first: #x, #w

#w
Pm2ErSi | PBE-GGA | optimized geometry

Unit cell a=3.676 b=3.676 c=32.547 alpha=90.00 beta=90.00 gamma=120.00
Fractional coordinates of all 12 atoms:
Pm 0.000 0.000 0.107
Pm 0.000 0.000 0.893
Pm 0.333 0.667 0.560
Pm 0.333 0.667 0.773
Pm 0.667 0.333 0.227
Pm 0.667 0.333 0.440
Er 0.000 0.000 0.000
Er 0.333 0.667 0.667
Er 0.667 0.333 0.333
Si 0.000 0.000 0.500
Si 0.333 0.667 0.167
Si 0.667 0.333 0.833

Calculated values
* SG: No. 166
* theoretical density: 6.35 g cm⁻³
* M_tot: 0.730 μB per formula unit

#x
Pm2ErSi | PBE-GGA | optimized geometry

Unit cell a=4.680 b=4.680 c=4.740 alpha=90.00 beta=90.00 gamma=90.00
Fractional coordinates of all 4 atoms:
Pm 0.000 0.500 0.000
Pm 0.500 0.000 0.000
Er 0.000 0.000 0.500
Si 0.500 0.500 0.500

Calculated values
* SG: No. 123
* theoretical density: 7.76 g cm⁻³
* M_tot: 0.000 μB per formula unit

#y
Pm2ErSi | PBE-GGA | optimized geometry

Unit cell a=4.046 b=4.046 c=6.629 alpha=90.00 beta=90.00 gamma=90.00
Fractional coordinates of all 4 atoms:
Pm 0.000 0.000 0.219
Pm 0.000 0.000 0.781
Er 0.500 0.500 0.500
Si 0.500 0.500 0.000

Calculated values
* SG: No. 123
* theoretical density: 7.43 g cm⁻³
* M_tot: 0.000 μB per formula unit

Order of stability, best first: #x, #y, #w

#w
PmErSi | PBE-GGA | optimized geometry

Unit cell a=11.480 b=4.234 c=8.153 alpha=90.00 beta=126.85 gamma=90.00
Fractional coordinates of all 12 atoms:
Pm 0.085 0.000 0.359
Pm 0.415 0.500 0.641
Pm 0.585 0.500 0.359
Pm 0.915 0.000 0.641
Er 0.178 0.500 0.077
Er 0.322 0.000 0.923
Er 0.678 0.000 0.077
Er 0.822 0.500 0.923
Si 0.122 0.500 0.662
Si 0.378 0.000 0.338
Si 0.622 0.000 0.662
Si 0.878 0.500 0.338

Calculated values
* SG: No. 12
* theoretical density: 7.13 g cm⁻³
* M_tot: 0.003 μB per formula unit

#x
PmErSi | PBE-GGA | optimized geometry

Unit cell a=4.809 b=4.821 c=7.179 alpha=90.00 beta=109.53 gamma=90.00
Fractional coordinates of all 6 atoms:
Pm 0.113 0.250 0.225
Pm 0.887 0.750 0.775
Er 0.384 0.250 0.769
Er 0.616 0.750 0.231
Si 0.249 0.750 0.500
Si 0.751 0.250 0.500

Calculated values
* SG: No. 11
* theoretical density: 7.21 g cm⁻³
* M_tot: 0.000 μB per formula unit

#y
PmErSi | PBE-GGA | optimized geometry

Unit cell a=4.671 b=4.671 c=4.219 alpha=90.00 beta=90.00 gamma=120.00
Fractional coordinates of all 3 atoms:
Pm 0.000 0.000 0.000
Er 0.667 0.333 0.473
Si 0.333 0.667 0.636

Calculated values
* SG: No. 156
* theoretical density: 7.09 g cm⁻³
* M_tot: 0.000 μB per formula unit

#z
PmErSi | PBE-GGA | optimized geometry

Unit cell a=6.919 b=6.919 c=6.919 alpha=90.00 beta=90.00 gamma=90.00
Fractional coordinates of all 12 atoms:
Pm 0.000 0.000 0.000
Pm 0.000 0.500 0.500
Pm 0.500 0.000 0.500
Pm 0.500 0.500 0.000
Er 0.000 0.000 0.500
Er 0.000 0.500 0.000
Er 0.500 0.000 0.000
Er 0.500 0.500 0.500
Si 0.250 0.250 0.250
Si 0.250 0.750 0.750
Si 0.750 0.250 0.750
Si 0.750 0.750 0.250

Calculated values
* SG: No. 216
* theoretical density: 6.82 g cm⁻³
* M_tot: 0.000 μB per formula unit

Order of stability, best first: #w, #z, #x, #y

#w
PmEr2Si | PBE-GGA | optimized geometry

Unit cell a=4.769 b=4.769 c=16.679 alpha=90.00 beta=90.00 gamma=120.00
Fractional coordinates of all 12 atoms:
Pm 0.000 0.000 0.000
Pm 0.333 0.667 0.667
Pm 0.667 0.333 0.333
Er 0.000 0.000 0.224
Er 0.000 0.000 0.776
Er 0.333 0.667 0.443
Er 0.333 0.667 0.891
Er 0.667 0.333 0.109
Er 0.667 0.333 0.557
Si 0.000 0.000 0.500
Si 0.333 0.667 0.167
Si 0.667 0.333 0.833

Calculated values
* SG: No. 166
* theoretical density: 7.70 g cm⁻³
* M_tot: 0.001 μB per formula unit

#x
PmEr2Si | PBE-GGA | optimized geometry

Unit cell a=4.652 b=4.652 c=4.639 alpha=90.00 beta=90.00 gamma=90.00
Fractional coordinates of all 4 atoms:
Pm 0.000 0.000 0.000
Er 0.000 0.500 0.500
Er 0.500 0.000 0.500
Si 0.500 0.500 0.000

Calculated values
* SG: No. 123
* theoretical density: 8.40 g cm⁻³
* M_tot: 0.002 μB per formula unit

Order of stability, best first: #x, #w

#w
Pm2ErSi2 | PBE-GGA | optimized geometry

Unit cell a=5.859 b=3.973 c=11.385 alpha=90.00 beta=93.09 gamma=90.00
Fractional coordinates of all 10 atoms:
Pm 0.101 0.250 0.370
Pm 0.251 0.250 0.062
Pm 0.749 0.750 0.938
Pm 0.899 0.750 0.630
Er 0.395 0.250 0.715
Er 0.605 0.750 0.285
Si 0.244 0.750 0.871
Si 0.379 0.750 0.522
Si 0.621 0.250 0.478
Si 0.756 0.250 0.129

Calculated values
* SG: No. 11
* theoretical density: 6.44 g cm⁻³
* M_tot: 0.000 μB per formula unit

#x
Pm2ErSi2 | PBE-GGA | optimized geometry

Unit cell a=7.550 b=7.550 c=4.357 alpha=90.00 beta=90.00 gamma=90.00
Fractional coordinates of all 10 atoms:
Pm 0.177 0.323 0.000
Pm 0.323 0.823 0.000
Pm 0.677 0.177 0.000
Pm 0.823 0.677 0.000
Er 0.000 0.000 0.500
Er 0.500 0.500 0.500
Si 0.115 0.615 0.500
Si 0.385 0.115 0.500
Si 0.615 0.885 0.500
Si 0.885 0.385 0.500

Calculated values
* SG: No. 127
* theoretical density: 6.87 g cm⁻³
* M_tot: 0.000 μB per formula unit

Order of stability, best first: #x, #w

#w
Pm6Sm4Er | PBE-GGA | optimized geometry

Unit cell a=9.867 b=9.867 c=9.867 alpha=140.54 beta=140.54 gamma=57.04
Fractional coordinates of all 11 atoms:
Pm 0.000 0.500 0.500
Pm 0.193 0.193 0.645
Pm 0.452 0.807 0.000
Pm 0.500 0.000 0.500
Pm 0.548 0.548 0.355
Pm 0.807 0.452 0.000
Sm 0.012 0.636 0.000
Sm 0.364 0.364 0.376
Sm 0.636 0.012 0.000
Sm 0.988 0.988 0.624
Er 0.000 0.000 0.000

Calculated values
* SG: No. 121
* theoretical density: 7.07 g cm⁻³
* M_tot: 0.000 μB per formula unit

#x
Pm6Sm4Er | PBE-GGA | optimized geometry

Unit cell a=8.666 b=8.666 c=8.666 alpha=128.11 beta=128.11 gamma=76.45
Fractional coordinates of all 11 atoms:
Pm 0.000 0.500 0.500
Pm 0.038 0.587 0.000
Pm 0.413 0.413 0.451
Pm 0.500 0.000 0.500
Pm 0.587 0.038 0.000
Pm 0.962 0.962 0.549
Sm 0.249 0.249 0.658
Sm 0.409 0.751 0.000
Sm 0.591 0.591 0.342
Sm 0.751 0.409 0.000
Er 0.000 0.000 0.000

Calculated values
* SG: No. 121
* theoretical density: 6.95 g cm⁻³
* M_tot: 0.000 μB per formula unit

Order of stability, best first: #w, #x

#w
PmSm7Er12 | PBE-GGA | optimized geometry

Unit cell a=8.684 b=8.684 c=8.684 alpha=95.13 beta=95.13 gamma=95.13
Fractional coordinates of all 20 atoms:
Pm 0.000 0.000 0.000
Sm 0.020 0.086 0.355
Sm 0.086 0.355 0.020
Sm 0.355 0.020 0.086
Sm 0.500 0.500 0.500
Sm 0.645 0.980 0.914
Sm 0.914 0.645 0.980
Sm 0.980 0.914 0.645
Er 0.148 0.417 0.484
Er 0.185 0.748 0.317
Er 0.252 0.683 0.815
Er 0.317 0.185 0.748
Er 0.417 0.484 0.148
Er 0.484 0.148 0.417
Er 0.516 0.852 0.583
Er 0.583 0.516 0.852
Er 0.683 0.815 0.252
Er 0.748 0.317 0.185
Er 0.815 0.252 0.683
Er 0.852 0.583 0.516

Calculated values
* SG: No. 148
* theoretical density: 8.23 g cm⁻³
* M_tot: 0.000 μB per formula unit

#x
PmSm7Er12 | PBE-GGA | optimized geometry

Unit cell a=9.715 b=9.715 c=9.715 alpha=109.47 beta=109.47 gamma=109.47
Fractional coordinates of all 20 atoms:
Pm 0.000 0.000 0.000
Sm 0.000 0.000 0.500
Sm 0.000 0.500 0.000
Sm 0.000 0.500 0.500
Sm 0.500 0.000 0.000
Sm 0.500 0.000 0.500
Sm 0.500 0.500 0.000
Sm 0.500 0.500 0.500
Er 0.000 0.250 0.750
Er 0.000 0.750 0.250
Er 0.250 0.000 0.750
Er 0.250 0.250 0.501
Er 0.250 0.501 0.250
Er 0.250 0.750 0.000
Er 0.499 0.750 0.750
Er 0.501 0.250 0.250
Er 0.750 0.000 0.250
Er 0.750 0.250 0.000
Er 0.750 0.499 0.750
Er 0.750 0.750 0.499

Calculated values
* SG: No. 229
* theoretical density: 7.54 g cm⁻³
* M_tot: 0.002 μB per formula unit

Order of stability, best first: #w, #x

#w
PmSm8Er2 | PBE-GGA | optimized geometry

Unit cell a=9.041 b=9.041 c=6.689 alpha=99.15 beta=99.15 gamma=43.75
Fractional coordinates of all 11 atoms:
Pm 0.000 0.000 0.000
Sm 0.174 0.649 0.591
Sm 0.244 0.244 0.315
Sm 0.351 0.826 0.409
Sm 0.408 0.408 0.089
Sm 0.592 0.592 0.911
Sm 0.649 0.174 0.591
Sm 0.756 0.756 0.685
Sm 0.826 0.351 0.409
Er 0.202 0.202 0.804
Er 0.798 0.798 0.196

Calculated values
* SG: No. 12
* theoretical density: 7.50 g cm⁻³
* M_tot: 0.000 μB per formula unit

#x
PmSm8Er2 | PBE-GGA | optimized geometry

Unit cell a=6.242 b=6.250 c=9.546 alpha=83.68 beta=89.99 gamma=80.42
Fractional coordinates of all 11 atoms:
Pm 0.000 0.000 0.000
Sm 0.091 0.453 0.183
Sm 0.181 0.910 0.365
Sm 0.274 0.364 0.545
Sm 0.455 0.273 0.909
Sm 0.545 0.727 0.091
Sm 0.726 0.636 0.455
Sm 0.819 0.090 0.635
Sm 0.909 0.547 0.817
Er 0.364 0.818 0.727
Er 0.636 0.182 0.273

Calculated values
* SG: No. 2
* theoretical density: 7.66 g cm⁻³
* M_tot: 0.000 μB per formula unit

Order of stability, best first: #x, #w